Crystalline NdSm2ScBi4 at its relaxed geometry. Source: Alexandria, functional PBE.

## Properties
As for the raw total energy: -5.3497 eV/atom. Its symmetry is No. 10. The calculation puts the calculated formation energy at -6.7 eV per formula unit. The spin magnetization comes out at 0.00 μB per formula unit. Its crystal system is monoclinic.

Unit cell a=7.8000 b=4.5100 c=7.8065 alpha=90.00 beta=109.50 gamma=90.00
Fractional coordinates of all 8 atoms:
Nd1 0.0000 0.0000 0.0000
Sm1 0.0000 0.5000 0.5000
Sm2 0.5000 0.0000 0.5000
Sc1 0.5000 0.5000 0.0000
Bi1 0.2587 0.5000 0.2457
Bi2 0.2641 0.0000 0.7619
Bi3 0.7359 0.0000 0.2381
Bi4 0.7413 0.5000 0.7543

Crystalline Ca3Ac3Au4 at its relaxed geometry. Source: Alexandria, functional PBE.

## Properties
As for the raw total energy: -3.8420 eV/atom. Its symmetry is No. 38. The calculation puts the calculated formation energy at -7.0 eV per formula unit. The spin magnetization comes out at 0.00 μB per formula unit. Its crystal system is orthorhombic.

Unit cell a=4.2689 b=8.5022 c=8.5022 alpha=89.53 beta=90.00 gamma=90.00
Fractional coordinates of all 10 atoms:
Ca1 0.0000 0.0000 0.0000
Ca2 0.5000 0.3269 0.8397
Ca3 0.5000 0.8397 0.3269
Ac1 0.0000 0.1756 0.4943
Ac2 0.0000 0.4943 0.1756
Ac3 0.0000 0.6823 0.6823
Au1 0.5000 0.1944 0.1944
Au2 0.5000 0.4782 0.4782
Au3 0.5000 0.7037 0.9771
Au4 0.5000 0.9771 0.7037

Crystalline Ac12Ge4Pb at its relaxed geometry. Source: Alexandria, functional PBE.

## Properties
As for the raw total energy: -4.3508 eV/atom. Its symmetry is No. 204. The calculation puts the calculated formation energy at -2.5 eV per formula unit. The spin magnetization comes out at 2.30 μB per formula unit. Its crystal system is cubic.

Unit cell a=9.8885 b=9.8885 c=9.8885 alpha=109.47 beta=109.47 gamma=109.47
Fractional coordinates of all 17 atoms:
Ac1 0.1462 0.8312 0.3150
Ac2 0.1688 0.3150 0.4839
Ac3 0.1688 0.6850 0.8538
Ac4 0.3150 0.1462 0.8312
Ac5 0.3150 0.4839 0.1688
Ac6 0.4839 0.1688 0.3150
Ac7 0.5161 0.8312 0.6850
Ac8 0.6850 0.5161 0.8312
Ac9 0.6850 0.8538 0.1688
Ac10 0.8312 0.3150 0.1462
Ac11 0.8312 0.6850 0.5161
Ac12 0.8538 0.1688 0.6850
Ge1 0.0000 0.0000 0.5000
Ge2 0.0000 0.5000 0.0000
Ge3 0.5000 0.0000 0.0000
Ge4 0.5000 0.5000 0.5000
Pb1 0.0000 0.0000 0.0000

Crystalline SrFeOs at its relaxed geometry. Source: Alexandria, functional PBE.

## Properties
As for the raw total energy: -6.8361 eV/atom. Its symmetry is No. 8. The calculation puts the calculated formation energy at 0.9 eV per formula unit. The spin magnetization comes out at 2.01 μB per formula unit. Its crystal system is monoclinic.

Unit cell a=11.3081 b=4.2577 c=5.1526 alpha=90.00 beta=91.13 gamma=90.00
Fractional coordinates of all 12 atoms:
Sr1 0.0000 0.0000 0.0000
Sr2 0.0584 0.5000 0.5062
Sr3 0.5000 0.5000 0.0000
Sr4 0.5584 0.0000 0.5062
Fe1 0.2398 0.5000 0.0144
Fe2 0.2817 0.0000 0.2367
Fe3 0.7398 0.0000 0.0144
Fe4 0.7817 0.5000 0.2367
Os1 0.2822 0.0000 0.7532
Os2 0.3196 0.5000 0.4980
Os3 0.7822 0.5000 0.7532
Os4 0.8196 0.0000 0.4980

Crystalline Cs3Rb2H2F3 at its relaxed geometry. Source: Alexandria, functional PBE.

## Properties
As for the raw total energy: -3.2347 eV/atom. Its symmetry is No. 139. The spin magnetization comes out at 0.00 μB per formula unit. Its crystal system is tetragonal.

Unit cell a=14.0245 b=14.0245 c=14.0245 alpha=160.49 beta=160.49 gamma=27.73
Fractional coordinates of all 10 atoms:
Cs1 0.0000 0.0000 0.0000
Cs2 0.3921 0.3921 0.0000
Cs3 0.6079 0.6079 0.0000
Rb1 0.2066 0.2066 0.0000
Rb2 0.7934 0.7934 0.0000
H1 0.2500 0.7500 0.5000
H2 0.7500 0.2500 0.5000
F1 0.1038 0.1038 0.0000
F2 0.5000 0.5000 0.0000
F3 0.8962 0.8962 0.0000

Crystalline CeDy2Zn at its relaxed geometry. Source: Alexandria, functional PBE.

## Properties
As for the raw total energy: -4.1098 eV/atom. Its symmetry is No. 160. The calculation puts the calculated formation energy at 0.0 eV per formula unit. The spin magnetization comes out at 1.28 μB per formula unit. Its crystal system is trigonal.

Unit cell a=3.5293 b=3.5293 c=31.1017 alpha=90.00 beta=90.00 gamma=120.00
Fractional coordinates of all 12 atoms:
Ce1 0.0000 0.0000 0.0000
Ce2 0.3333 0.6667 0.6667
Ce3 0.6667 0.3333 0.3333
Dy1 0.0000 0.0000 0.5720
Dy2 0.0000 0.0000 0.7610
Dy3 0.3333 0.6667 0.2387
Dy4 0.3333 0.6667 0.4276
Dy5 0.6667 0.3333 0.0943
Dy6 0.6667 0.3333 0.9053
Zn1 0.0000 0.0000 0.1661
Zn2 0.3333 0.6667 0.8328
Zn3 0.6667 0.3333 0.4995

Crystalline Rb2LaTbS4 at its relaxed geometry. Source: Alexandria, functional PBE.

## Properties
The formation energy without anion corrections comes out at -1.870 eV per atom. As for the raw total energy: -5.3699 eV/atom. Its symmetry is No. 10. The spin magnetization comes out at 0.00 μB per formula unit. Its crystal system is monoclinic.

Unit cell a=7.2978 b=4.2103 c=8.0695 alpha=90.00 beta=107.49 gamma=90.00
Fractional coordinates of all 8 atoms:
Rb1 0.0000 0.0000 0.0000
Rb2 0.5000 0.5000 0.0000
La1 0.0000 0.5000 0.5000
Tb1 0.5000 0.0000 0.5000
S1 0.2423 0.0000 0.6964
S2 0.2784 0.5000 0.3067
S3 0.7216 0.5000 0.6933
S4 0.7577 0.0000 0.3036

Crystalline MnFeGe2 at its relaxed geometry. Source: Alexandria, functional PBE.

## Properties
As for the raw total energy: -6.6736 eV/atom. Its symmetry is No. 123. The calculation puts the calculated formation energy at 0.2 eV per formula unit. The spin magnetization comes out at 0.77 μB per formula unit. Its crystal system is tetragonal.

Unit cell a=4.1461 b=4.1461 c=2.8935 alpha=90.00 beta=90.00 gamma=90.00
Fractional coordinates of all 4 atoms:
Mn1 0.0000 0.0000 0.0000
Fe1 0.5000 0.5000 0.0000
Ge1 0.0000 0.5000 0.5000
Ge2 0.5000 0.0000 0.5000

Crystalline CaHoAlZn at its relaxed geometry. Source: Alexandria, functional PBE.

## Properties
As for the raw total energy: -3.1963 eV/atom. Its symmetry is No. 99. The calculation puts the calculated formation energy at -1.2 eV per formula unit. The spin magnetization comes out at 0.00 μB per formula unit. Its crystal system is tetragonal.

Unit cell a=3.5797 b=3.5797 c=7.4812 alpha=90.00 beta=90.00 gamma=90.00
Fractional coordinates of all 4 atoms:
Ca1 0.0000 0.0000 0.0000
Ho1 0.0000 0.0000 0.5104
Al1 0.5000 0.5000 0.2687
Zn1 0.5000 0.5000 0.7400

Crystalline ZnH2PdRh at its relaxed geometry. Source: Alexandria, functional PBE.

## Properties
As for the raw total energy: -4.3464 eV/atom. Its symmetry is No. 107. The spin magnetization comes out at 0.00 μB per formula unit. Its crystal system is tetragonal.

Unit cell a=3.0383 b=3.0383 c=10.7187 alpha=90.00 beta=90.00 gamma=90.00
Fractional coordinates of all 10 atoms:
Zn1 0.0000 0.0000 0.0000
Zn2 0.5000 0.5000 0.5000
H1 0.0000 0.5000 0.2327
H2 0.0000 0.5000 0.7327
H3 0.5000 0.0000 0.2327
H4 0.5000 0.0000 0.7327
Pd1 0.0000 0.0000 0.3549
Pd2 0.5000 0.5000 0.8549
Rh1 0.0000 0.0000 0.6440
Rh2 0.5000 0.5000 0.1440

Crystalline Cr2SnGeS at its relaxed geometry. Source: Alexandria, functional PBE.

## Properties
The formation energy without anion corrections comes out at 0.389 eV per atom. As for the raw total energy: -6.0099 eV/atom. Its symmetry is No. 123. The spin magnetization comes out at 7.57 μB per formula unit. Its crystal system is tetragonal.

Unit cell a=4.5454 b=4.5454 c=5.0709 alpha=90.00 beta=90.00 gamma=90.00
Fractional coordinates of all 5 atoms:
Cr1 0.0000 0.5000 0.0000
Cr2 0.5000 0.0000 0.0000
Sn1 0.0000 0.0000 0.5000
Ge1 0.5000 0.5000 0.5000
S1 0.5000 0.5000 0.0000

Crystalline Sn4Te2I3 at its relaxed geometry. Source: Alexandria, functional PBE.

## Properties
The formation energy without anion corrections comes out at -0.278 eV per atom. As for the raw total energy: -3.2723 eV/atom. Its symmetry is No. 12. The spin magnetization comes out at 0.00 μB per formula unit. Its crystal system is monoclinic.

Unit cell a=4.7107 b=4.7107 c=18.1129 alpha=90.08 beta=90.08 gamma=59.96
Fractional coordinates of all 9 atoms:
Sn1 0.0006 0.0006 0.3004
Sn2 0.3336 0.3336 0.1150
Sn3 0.6664 0.6664 0.8850
Sn4 0.9994 0.9994 0.6996
Te1 0.3328 0.3328 0.7994
Te2 0.6672 0.6672 0.2006
I1 0.0000 0.0000 0.0000
I2 0.3344 0.3344 0.3950
I3 0.6656 0.6656 0.6050

Crystalline Li2ThGa6 at its relaxed geometry. Source: Alexandria, functional PBE.

## Properties
As for the raw total energy: -3.5417 eV/atom. Its symmetry is No. 191. The calculation puts the calculated formation energy at -2.5 eV per formula unit. The spin magnetization comes out at 0.00 μB per formula unit. Its crystal system is hexagonal.

Unit cell a=7.7728 b=7.7728 c=3.4443 alpha=90.00 beta=90.00 gamma=120.00
Fractional coordinates of all 9 atoms:
Li1 0.3333 0.6667 0.0000
Li2 0.6667 0.3333 0.0000
Th1 0.0000 0.0000 0.0000
Ga1 0.0000 0.3407 0.5000
Ga2 0.0000 0.6593 0.5000
Ga3 0.3407 0.0000 0.5000
Ga4 0.3407 0.3407 0.5000
Ga5 0.6593 0.0000 0.5000
Ga6 0.6593 0.6593 0.5000

Crystalline SiH4 at its relaxed geometry. Source: Alexandria, functional PBE.

## Properties
As for the raw total energy: -3.1551 eV/atom. Its symmetry is No. 221. The spin magnetization comes out at 0.33 μB per formula unit. Its crystal system is cubic.

Unit cell a=3.2810 b=3.2810 c=3.2810 alpha=90.00 beta=90.00 gamma=90.00
Fractional coordinates of all 5 atoms:
Si1 0.0000 0.0000 0.0000
H1 0.0000 0.0000 0.5000
H2 0.0000 0.5000 0.0000
H3 0.5000 0.0000 0.0000
H4 0.5000 0.5000 0.5000

Crystalline TaBeP3 at its relaxed geometry. Source: Alexandria, functional PBE.

## Properties
As for the raw total energy: -5.5016 eV/atom. Its symmetry is No. 221. The calculation puts the calculated formation energy at 4.3 eV per formula unit. The spin magnetization comes out at 0.00 μB per formula unit. Its crystal system is cubic.

Unit cell a=4.7967 b=4.7967 c=4.7967 alpha=90.00 beta=90.00 gamma=90.00
Fractional coordinates of all 5 atoms:
Ta1 0.0000 0.0000 0.0000
Be1 0.5000 0.5000 0.5000
P1 0.0000 0.0000 0.5000
P2 0.0000 0.5000 0.0000
P3 0.5000 0.0000 0.0000

Crystalline RuRhC at its relaxed geometry. Source: Alexandria, functional PBE.

## Properties
As for the raw total energy: -8.2592 eV/atom. Its symmetry is No. 1. The calculation puts the calculated formation energy at 1.1 eV per formula unit. The spin magnetization comes out at 0.00 μB per formula unit. Its crystal system is triclinic.

Unit cell a=2.7993 b=3.7691 c=3.9760 alpha=75.25 beta=69.49 gamma=68.34
Fractional coordinates of all 3 atoms:
Ru1 0.0000 0.0000 0.0000
Rh1 0.5013 0.5014 0.4945
C1 0.7469 0.5975 0.9071

Crystalline UMnTl2S5 at its relaxed geometry. Source: Alexandria, functional PBE.

## Properties
The formation energy without anion corrections comes out at -0.749 eV per atom. As for the raw total energy: -5.8411 eV/atom. Its symmetry is No. 36. The spin magnetization comes out at 5.00 μB per formula unit. Its crystal system is orthorhombic.

Unit cell a=9.1948 b=9.1948 c=13.7626 alpha=90.00 beta=90.00 gamma=154.84
Fractional coordinates of all 18 atoms:
U1 0.2097 0.7903 0.5000
U2 0.7903 0.2097 0.0000
Mn1 0.4308 0.5692 0.9034
Mn2 0.5692 0.4308 0.4034
Tl1 0.0955 0.9045 0.1383
Tl2 0.1182 0.8818 0.7988
Tl3 0.8818 0.1182 0.2988
Tl4 0.9045 0.0955 0.6383
S1 0.0625 0.9375 0.4962
S2 0.2844 0.7156 0.1214
S3 0.3018 0.6982 0.8722
S4 0.3459 0.6541 0.4759
S5 0.4930 0.5070 0.7656
S6 0.5070 0.4930 0.2656
S7 0.6541 0.3459 0.9759
S8 0.6982 0.3018 0.3722
S9 0.7156 0.2844 0.6214
S10 0.9375 0.0625 0.9962

Crystalline FeOsSe2 at its relaxed geometry. Source: Alexandria, functional PBE.

## Properties
The formation energy without anion corrections comes out at 0.835 eV per atom. As for the raw total energy: -5.8306 eV/atom. Its symmetry is No. 47. The spin magnetization comes out at 3.25 μB per formula unit. Its crystal system is orthorhombic.

Unit cell a=3.0733 b=3.9270 c=5.7440 alpha=90.00 beta=90.00 gamma=90.00
Fractional coordinates of all 4 atoms:
Fe1 0.0000 0.0000 0.0000
Os1 0.5000 0.0000 0.5000
Se1 0.0000 0.5000 0.5000
Se2 0.5000 0.5000 0.0000

Crystalline SrCd2Rh2Pb at its relaxed geometry. Source: Alexandria, functional PBE.

## Properties
As for the raw total energy: -3.5785 eV/atom. Its symmetry is No. 123. The calculation puts the calculated formation energy at 0.5 eV per formula unit. The spin magnetization comes out at 0.00 μB per formula unit. Its crystal system is tetragonal.

Unit cell a=5.0745 b=5.0745 c=6.2279 alpha=90.00 beta=90.00 gamma=90.00
Fractional coordinates of all 6 atoms:
Sr1 0.0000 0.0000 0.0000
Cd1 0.5000 0.5000 0.2591
Cd2 0.5000 0.5000 0.7409
Rh1 0.0000 0.5000 0.5000
Rh2 0.5000 0.0000 0.5000
Pb1 0.0000 0.0000 0.5000

Crystalline PmEr2SiN4 at its relaxed geometry. Source: Alexandria, functional PBE.

## Properties
The formation energy without anion corrections comes out at -1.385 eV per atom. As for the raw total energy: -7.9597 eV/atom. Its symmetry is No. 63. The spin magnetization comes out at 0.00 μB per formula unit. Its crystal system is orthorhombic.

Unit cell a=5.9781 b=5.9781 c=11.4325 alpha=90.00 beta=90.00 gamma=147.41
Fractional coordinates of all 16 atoms:
Pm1 0.0877 0.9123 0.7500
Pm2 0.9123 0.0877 0.2500
Er1 0.3686 0.6314 0.5416
Er2 0.3686 0.6314 0.9584
Er3 0.6314 0.3686 0.0416
Er4 0.6314 0.3686 0.4584
Si1 0.1764 0.8236 0.2500
Si2 0.8236 0.1764 0.7500
N1 0.0000 0.0000 0.0000
N2 0.0000 0.0000 0.5000
N3 0.2652 0.7348 0.1282
N4 0.2652 0.7348 0.3718
N5 0.4062 0.5938 0.7500
N6 0.5938 0.4062 0.2500
N7 0.7348 0.2652 0.6282
N8 0.7348 0.2652 0.8718